# 1
## LaTbNdGa (PBE)

Data for a geometry-optimized LaTbNdGa structure.

Geometry as POSCAR:
```
LaTbNdGa
1.0
7.755 0.000 0.000
0.000 7.755 0.000
0.000 0.000 7.755
La Tb Nd Ga
4 4 4 4
Direct
0.000 0.000 0.000
0.000 0.500 0.500
0.500 0.000 0.500
0.500 0.500 0.000
0.250 0.250 0.250
0.250 0.750 0.750
0.750 0.250 0.750
0.750 0.750 0.250
0.000 0.000 0.500
0.000 0.500 0.000
0.500 0.000 0.000
0.500 0.500 0.500
0.250 0.250 0.750
0.250 0.750 0.250
0.750 0.250 0.250
0.750 0.750 0.750
```

Its space group is F-43m (216). The energy of formation from the pure elements comes out at -105 meV per atom.

# 2
## HfBAu (PBE)

Data for a geometry-optimized HfBAu structure.

Geometry as POSCAR:
```
HfBAu
1.0
3.190 0.000 0.000
-1.595 2.762 0.000
0.000 0.000 10.141
Hf B Au
2 2 2
Direct
0.000 0.000 0.167
0.000 0.000 0.833
0.333 0.667 0.998
0.667 0.333 0.002
0.333 0.667 0.385
0.667 0.333 0.615
```

Its space group is P-3m1 (164). The energy of formation from the pure elements comes out at -662 meV per atom.

# 3
## Rb2SnBr2F2 (PBE)

Data for a geometry-optimized Rb2SnBr2F2 structure.

Geometry as POSCAR:
```
Rb2SnBr2F2
1.0
4.830 0.000 0.000
0.000 4.830 0.000
0.000 0.000 17.871
Rb Sn Br F
4 2 4 4
Direct
0.000 0.000 0.130
0.000 0.000 0.870
0.500 0.500 0.370
0.500 0.500 0.630
0.000 0.000 0.500
0.500 0.500 0.000
0.000 0.000 0.331
0.000 0.000 0.669
0.500 0.500 0.169
0.500 0.500 0.831
0.000 0.500 0.000
0.000 0.500 0.500
0.500 0.000 0.000
0.500 0.000 0.500
```

Its space group is I4/mmm (139). The calculation puts the uncorrected formation energy at -1953 meV/atom.

# 4
## ScRh2W (PBE)

Data for a geometry-optimized ScRh2W structure.

Geometry as POSCAR:
```
ScRh2W
1.0
4.140 0.000 0.000
0.000 4.140 0.000
0.000 0.000 7.399
Sc Rh W
2 4 2
Direct
0.000 0.000 0.000
0.500 0.500 0.500
0.000 0.500 0.250
0.000 0.500 0.750
0.500 0.000 0.250
0.500 0.000 0.750
0.000 0.000 0.500
0.500 0.500 0.000
```

Its space group is I4/mmm (139). For the distance to the lowest polymorph of the same formula, the calculation gives 0.125 eV per atom. The energy of formation from the pure elements comes out at -315 meV per atom.

# 5
## Ba2Sb4Pd3Pb (PBE)

Data for a geometry-optimized Ba2Sb4Pd3Pb structure.

Geometry as POSCAR:
```
Ba2Sb4Pd3Pb
1.0
4.927 0.000 0.000
0.000 4.927 0.000
0.000 0.000 11.219
Ba Sb Pd Pb
2 4 3 1
Direct
0.000 0.500 0.240
0.500 0.000 0.760
0.000 0.000 0.000
0.000 0.500 0.651
0.500 0.000 0.349
0.500 0.500 0.000
0.000 0.500 0.890
0.500 0.000 0.110
0.500 0.500 0.500
0.000 0.000 0.500
```

Its space group is P-4m2 (115). The calculation puts the uncorrected formation energy at -648 meV/atom.

# 6
## TmThTc (PBE)

Data for a geometry-optimized TmThTc structure.

Geometry as POSCAR:
```
TmThTc
1.0
4.895 -4.797 0.000
4.895 4.797 0.000
-4.884 0.000 6.855
Tm Th Tc
4 4 4
Direct
0.004 0.754 0.509
0.246 0.996 0.991
0.754 0.004 0.009
0.996 0.246 0.491
0.246 0.496 0.991
0.496 0.246 0.491
0.504 0.754 0.509
0.754 0.504 0.009
0.142 0.392 0.250
0.392 0.142 0.750
0.608 0.858 0.250
0.858 0.608 0.750
```

Its space group is C2/c (15). For the distance to the lowest polymorph of the same formula, the calculation gives 0.079 eV per atom. The energy of formation from the pure elements comes out at -41 meV per atom.

# 7
## RbHW3 (PBE)

Data for a geometry-optimized RbHW3 structure.

Geometry as POSCAR:
```
RbHW3
1.0
4.306 0.000 0.000
0.000 4.306 0.000
0.000 0.000 4.306
Rb H W
1 1 3
Direct
0.000 0.000 0.000
0.500 0.500 0.500
0.000 0.500 0.500
0.500 0.000 0.500
0.500 0.500 0.000
```

Its space group is Pm-3m (221). For the distance to the lowest polymorph of the same formula, the calculation gives 0.000 eV per atom.

# 8
## NdDyEr4Tm2 (PBE)

Data for a geometry-optimized NdDyEr4Tm2 structure.

Geometry as POSCAR:
```
NdDyEr4Tm2
1.0
6.743 -6.607 0.000
6.743 6.607 0.000
-3.367 0.000 5.838
Nd Dy Er Tm
2 2 8 4
Direct
0.000 0.500 0.000
0.500 0.000 0.500
0.000 0.000 0.000
0.000 0.000 0.500
0.249 0.254 0.503
0.252 0.748 0.502
0.252 0.748 0.998
0.254 0.249 0.003
0.746 0.751 0.997
0.748 0.252 0.002
0.748 0.252 0.498
0.751 0.746 0.497
0.000 0.500 0.500
0.500 0.000 0.000
0.500 0.500 0.000
0.500 0.500 0.500
```

Its space group is C2/c (15). The energy of formation from the pure elements comes out at 446 meV per atom.

# 9
## TlVCo2Ge (PBE)

Data for a geometry-optimized TlVCo2Ge structure.

Geometry as POSCAR:
```
TlVCo2Ge
1.0
4.306 0.000 0.000
0.000 4.306 0.000
0.000 0.000 5.218
Tl V Co Ge
1 1 2 1
Direct
0.000 0.000 0.000
0.000 0.000 0.500
0.000 0.500 0.500
0.500 0.000 0.500
0.500 0.500 0.000
```

Its space group is P4/mmm (123). The energy of formation from the pure elements comes out at 1157 meV per atom.

# 10
## BaLi2TbSb2 (PBE)

Data for a geometry-optimized BaLi2TbSb2 structure.

Geometry as POSCAR:
```
BaLi2TbSb2
1.0
4.821 0.000 0.000
-2.410 4.175 0.000
0.000 0.000 8.120
Ba Li Tb Sb
1 2 1 2
Direct
0.000 0.000 0.000
0.333 0.667 0.683
0.667 0.333 0.317
0.000 0.000 0.500
0.333 0.667 0.287
0.667 0.333 0.713
```

Its space group is P-3m1 (164). The calculation puts the uncorrected formation energy at -872 meV/atom.

# 11
## RbSnBi (PBE)

Data for a geometry-optimized RbSnBi structure.

Geometry as POSCAR:
```
RbSnBi
1.0
4.097 0.000 0.000
0.000 4.097 0.000
0.000 0.000 13.486
Rb Sn Bi
2 2 2
Direct
0.000 0.000 0.000
0.500 0.500 0.500
0.000 0.000 0.301
0.500 0.500 0.801
0.000 0.000 0.703
0.500 0.500 0.203
```

Its space group is I4mm (107). The energy of formation from the pure elements comes out at -192 meV per atom.

# 12
## DyThCo10 (PBE)

Data for a geometry-optimized DyThCo10 structure.

Geometry as POSCAR:
```
DyThCo10
1.0
3.977 0.000 0.000
0.000 4.921 0.000
0.000 0.000 8.564
Dy Th Co
1 1 10
Direct
0.000 0.000 0.000
0.000 0.500 0.500
0.000 0.000 0.334
0.000 0.000 0.666
0.000 0.500 0.172
0.000 0.500 0.828
0.500 0.000 0.500
0.500 0.244 0.243
0.500 0.244 0.757
0.500 0.500 0.000
0.500 0.756 0.243
0.500 0.756 0.757
```

Its space group is Pmmm (47). The energy of formation from the pure elements comes out at -127 meV per atom.

We obtain volume values of 466.43 89.35 416.94 126.78 272.39 321.94 79.85 520.17 96.76 163.42 226.35 167.63 Å³/cell for the records listed above, in that order.